No. 1
Entry from Alexandria: Ta2Sb after structural relaxation (PBE-GGA).

Output
The space-group type is No. 62. Its crystal system is orthorhombic. Its density is 13.86 Mg/m³. The calculation puts the formation energy (no corrections) at 0.023 eV/atom.

a = 5.6158 Å, b = 4.7113 Å, c = 8.7629 Å
α = 90.00°, β = 90.00°, γ = 90.00°
With the nearest neighbours (Å) after each atom.
Sites, in units of the cell vectors:
Ta: 0.1296 0.2500 0.0475  5 Sb 2.87-3.09, 5 Ta 2.88-3.04
Ta: 0.1611 0.2500 0.7199  5 Ta 2.86-3.04, 5 Sb 2.98-3.00
Ta: 0.3389 0.7500 0.2199  5 Ta 2.86-3.04, 5 Sb 2.98-3.00
Ta: 0.3704 0.7500 0.5475  5 Sb 2.87-3.09, 5 Ta 2.88-3.04
Ta: 0.6296 0.2500 0.4525  5 Sb 2.87-3.09, 5 Ta 2.88-3.04
Ta: 0.6611 0.2500 0.7801  5 Ta 2.86-3.04, 5 Sb 2.98-3.00
Ta: 0.8389 0.7500 0.2801  5 Ta 2.86-3.04, 5 Sb 2.98-3.00
Ta: 0.8704 0.7500 0.9525  5 Sb 2.87-3.09, 5 Ta 2.88-3.04
Sb: 0.1308 0.2500 0.3796  10 Ta 2.87-3.09
Sb: 0.3692 0.7500 0.8796  10 Ta 2.87-3.09
Sb: 0.6308 0.2500 0.1204  10 Ta 2.87-3.09
Sb: 0.8692 0.7500 0.6204  10 Ta 2.87-3.09

---

No. 2
Entry from Alexandria: Ta2Sb after structural relaxation (PBE-GGA).

Output
The space-group type is No. 71. Its crystal system is orthorhombic. Its density is 13.47 Mg/m³. The calculation puts the formation energy (no corrections) at 0.261 eV/atom.

a = 4.9757 Å, b = 4.9757 Å, c = 4.9757 Å
α = 146.00°, β = 118.29°, γ = 72.36°
With the nearest neighbours (Å) after each atom.
Sites, in units of the cell vectors:
Ta: 0.1752 0.1752 0.0000  3 Ta 2.81-2.91, 4 Sb 2.91-2.99
Ta: 0.8248 0.8248 0.0000  3 Ta 2.81-2.91, 4 Sb 2.91-2.99
Sb: 0.5000 0.0000 0.5000  2 Sb 2.91, 8 Ta 2.91-2.99

---

No. 3
Entry from Alexandria: TaSb3 after structural relaxation (PBE-GGA).

Output
The space-group type is No. 221. Its crystal system is cubic. Its density is 5.82 Mg/m³. The calculation puts the formation energy (no corrections) at 0.464 eV/atom.

a = 5.3816 Å, b = 5.3816 Å, c = 5.3816 Å
α = 90.00°, β = 90.00°, γ = 90.00°
With the nearest neighbours (Å) after each atom.
Sites, in units of the cell vectors:
Ta: 0.0000 0.0000 0.0000  6 Sb 2.69
Sb: 0.0000 0.0000 0.5000  2 Ta 2.69
Sb: 0.0000 0.5000 0.0000  2 Ta 2.69
Sb: 0.5000 0.0000 0.0000  2 Ta 2.69

---

No. 4
Entry from Alexandria: TaSb after structural relaxation (PBE-GGA).

Output
The space-group type is No. 136. Its crystal system is tetragonal. Its density is 11.05 Mg/m³. The calculation puts the formation energy (no corrections) at 0.518 eV/atom.

a = 5.6574 Å, b = 5.6574 Å, c = 5.6869 Å
α = 90.00°, β = 90.00°, γ = 90.00°
With the nearest neighbours (Å) after each atom.
Sites, in units of the cell vectors:
Ta: 0.1809 0.1809 0.0000  6 Sb 2.80-3.02, 1 Ta 2.89
Ta: 0.3191 0.6809 0.5000  6 Sb 2.80-3.02, 1 Ta 2.89
Ta: 0.6809 0.3191 0.5000  6 Sb 2.80-3.02, 1 Ta 2.89
Ta: 0.8191 0.8191 0.0000  6 Sb 2.80-3.02, 1 Ta 2.89
Sb: 0.2008 0.2008 0.5000  6 Ta 2.80-3.02
Sb: 0.2992 0.7008 0.0000  6 Ta 2.80-3.02
Sb: 0.7008 0.2992 0.0000  6 Ta 2.80-3.02
Sb: 0.7992 0.7992 0.5000  6 Ta 2.80-3.02

---

No. 5
Entry from Alexandria: TaTc4Sb after structural relaxation (PBE-GGA).

Output
The space-group type is No. 216. Its crystal system is cubic. Its density is 11.60 Mg/m³. The calculation puts the formation energy (no corrections) at 0.211 eV/atom.

a = 5.1999 Å, b = 5.1999 Å, c = 5.1999 Å
α = 60.00°, β = 60.00°, γ = 60.00°
With the nearest neighbours (Å) after each atom.
Sites, in units of the cell vectors:
Ta: 0.0000 0.0000 0.0000  12 Tc 3.05, 4 Sb 3.18
Tc: 0.1272 0.6243 0.6243  6 Tc 2.58-2.62
Tc: 0.6243 0.1272 0.6243  6 Tc 2.58-2.62
Tc: 0.6243 0.6243 0.1272  6 Tc 2.58-2.62
Tc: 0.6243 0.6243 0.6243  6 Tc 2.58-2.62
Sb: 0.2500 0.2500 0.2500  12 Tc 3.05, 4 Ta 3.18

---

No. 6
Entry from Alexandria: TaTcSb after structural relaxation (PBE-GGA).

Output
The space-group type is No. 216. Its crystal system is cubic. Its density is 10.91 Mg/m³. The calculation puts the formation energy (no corrections) at -0.004 eV/atom.

a = 4.4181 Å, b = 4.4181 Å, c = 4.4181 Å
α = 60.00°, β = 60.00°, γ = 60.00°
With the nearest neighbours (Å) after each atom.
Sites, in units of the cell vectors:
Ta: 0.0000 0.0000 0.0000  4 Tc 2.71
Tc: 0.7500 0.7500 0.7500  4 Sb 2.71, 4 Ta 2.71
Sb: 0.5000 0.5000 0.5000  4 Tc 2.71

---

No. 7
Entry from Alexandria: TaTcSb2 after structural relaxation (PBE-GGA).

Output
The space-group type is No. 99. Its crystal system is tetragonal. Its density is 10.03 Mg/m³. The calculation puts the formation energy (no corrections) at -0.071 eV/atom.

a = 3.1995 Å, b = 3.1995 Å, c = 8.4519 Å
α = 90.00°, β = 90.00°, γ = 90.00°
With the nearest neighbours (Å) after each atom.
Sites, in units of the cell vectors:
Ta: 0.0000 0.0000 0.0000  4 Tc 2.72
Tc: 0.5000 0.5000 0.1778  4 Ta 2.72, 4 Sb 2.85
Sb: 0.0000 0.0000 0.3837  4 Tc 2.85
Sb: 0.5000 0.5000 0.7572  4 Ta 3.05, 4 Sb 3.20

---

No. 8
Entry from Alexandria: TaTcSb2 after structural relaxation (PBE-GGA).

Output
The space-group type is No. 123. Its crystal system is tetragonal. Its density is 11.59 Mg/m³. The calculation puts the formation energy (no corrections) at 0.179 eV/atom.

a = 4.7584 Å, b = 4.7584 Å, c = 3.3050 Å
α = 90.00°, β = 90.00°, γ = 90.00°
With the nearest neighbours (Å) after each atom.
Sites, in units of the cell vectors:
Ta: 0.0000 0.0000 0.0000  8 Sb 2.90
Tc: 0.5000 0.5000 0.0000  8 Sb 2.90
Sb: 0.0000 0.5000 0.5000  4 Tc 2.90, 4 Ta 2.90
Sb: 0.5000 0.0000 0.5000  4 Tc 2.90, 4 Ta 2.90

---

No. 9
Entry from Alexandria: TaTcSb2 after structural relaxation (PBE-GGA).

Output
The space-group type is No. 160. Its crystal system is trigonal. Its density is 9.15 Mg/m³. The calculation puts the formation energy (no corrections) at 0.088 eV/atom.

a = 10.8193 Å, b = 10.8193 Å, c = 10.8193 Å
α = 17.04°, β = 17.04°, γ = 17.04°
With the nearest neighbours (Å) after each atom.
Sites, in units of the cell vectors:
Ta: 0.0000 0.0000 0.0000  3 Tc 2.65
Tc: 0.7261 0.7261 0.7261  3 Ta 2.65, 3 Sb 2.82
Sb: 0.2602 0.2602 0.2602  3 Ta 2.98, 6 Sb 3.21
Sb: 0.4594 0.4594 0.4594  3 Tc 2.82

---

No. 10
Entry from Alexandria: Ta2TcSb2 after structural relaxation (PBE-GGA).

Output
The space-group type is No. 127. Its crystal system is tetragonal. Its density is 11.63 Mg/m³. The calculation puts the formation energy (no corrections) at 0.485 eV/atom.

a = 7.2551 Å, b = 7.2551 Å, c = 3.8155 Å
α = 90.00°, β = 90.00°, γ = 90.00°
With the nearest neighbours (Å) after each atom.
Sites, in units of the cell vectors:
Ta: 0.1404 0.3596 0.0000  6 Sb 2.77-2.92, 2 Tc 2.80, 1 Ta 2.88
Ta: 0.3596 0.8596 0.0000  6 Sb 2.77-2.92, 2 Tc 2.80, 1 Ta 2.88
Ta: 0.6404 0.1404 0.0000  6 Sb 2.77-2.92, 2 Tc 2.80, 1 Ta 2.88
Ta: 0.8596 0.6404 0.0000  6 Sb 2.77-2.92, 2 Tc 2.80, 1 Ta 2.88
Tc: 0.0000 0.0000 0.0000  4 Ta 2.80
Tc: 0.5000 0.5000 0.0000  4 Ta 2.80
Sb: 0.1636 0.6636 0.5000  6 Ta 2.77-2.92
Sb: 0.3364 0.1636 0.5000  6 Ta 2.77-2.92
Sb: 0.6636 0.8364 0.5000  6 Ta 2.77-2.92
Sb: 0.8364 0.3364 0.5000  6 Ta 2.77-2.92

---

No. 11
Entry from Alexandria: TaTcSb2 after structural relaxation (PBE-GGA).

Output
The space-group type is No. 12. Its crystal system is monoclinic. Its density is 11.23 Mg/m³. The calculation puts the formation energy (no corrections) at 0.296 eV/atom.

a = 4.6932 Å, b = 4.6932 Å, c = 5.6304 Å
α = 101.92°, β = 101.92°, γ = 39.68°
With the nearest neighbours (Å) after each atom.
Sites, in units of the cell vectors:
Ta: 0.0000 0.0000 0.0000  6 Sb 2.86-2.89, 2 Ta 3.19
Tc: 0.5000 0.5000 0.5000  6 Sb 2.78-2.87
Sb: 0.2441 0.2441 0.7394  3 Tc 2.78-2.87, 3 Ta 2.86-2.89
Sb: 0.7559 0.7559 0.2606  3 Tc 2.78-2.87, 3 Ta 2.86-2.89

---

No. 12
Entry from Alexandria: TaTcSb2 after structural relaxation (PBE-GGA).

Output
The space-group type is No. 47. Its crystal system is orthorhombic. Its density is 10.96 Mg/m³. The calculation puts the formation energy (no corrections) at 0.522 eV/atom.

a = 3.3781 Å, b = 4.3876 Å, c = 5.3411 Å
α = 90.00°, β = 90.00°, γ = 90.00°
With the nearest neighbours (Å) after each atom.
Sites, in units of the cell vectors:
Ta: 0.0000 0.0000 0.0000  4 Sb 2.77
Tc: 0.5000 0.0000 0.5000  4 Sb 2.77
Sb: 0.0000 0.5000 0.5000  4 Tc 2.77
Sb: 0.5000 0.5000 0.0000  4 Ta 2.77